Entry 1:
# HgSeBr2

A geometry-optimized HgSeBr2 structure (PBE, the Alexandria database).

Structure (extended XYZ):
```
4
Lattice="3.589 0.000 0.000 0.000 3.589 0.000 0.000 0.000 8.353" Properties=species:S:1:pos:R:3 pbc="T T T"
Hg 0.000 0.000 0.000
Se 1.795 1.795 1.778
Br 0.000 0.000 3.551
Br 1.795 1.795 6.676
```

- Excess energy over the best structure of this formula in the dataset: 1.91 eV/f.u.
- E: -1.483 eV/atom
- Crystal system: tetragonal
- Space group: P4mm, No. 99
- Size of the total moment: 0.00 μB/cell



Entry 2:
# Ac5Hg2RuO

A geometry-optimized Ac5Hg2RuO structure (PBE, the Alexandria database).

Structure (extended XYZ):
```
18
Lattice="2.137 -9.693 0.000 2.137 9.693 0.000 0.000 0.000 14.578" Properties=species:S:1:pos:R:3 pbc="T T T"
Ac 2.137 9.633 7.289
Ac 2.137 6.806 10.583
Ac 2.137 6.000 1.467
Ac 2.137 5.587 5.530
Ac 2.137 0.958 10.620
Ac 2.137 -0.958 3.331
Ac 2.137 -5.587 12.819
Ac 2.137 -6.000 8.756
Ac 2.137 -6.806 3.293
Ac 2.137 -9.633 0.000
Hg 2.137 2.567 0.631
Hg 2.137 2.160 5.907
Hg 2.137 -2.160 13.196
Hg 2.137 -2.567 7.920
Ru 2.137 4.007 10.794
Ru 2.137 -4.007 3.505
O 2.137 8.601 2.105
O 2.137 -8.601 9.394
```

- E: -4.816 eV/atom
- Crystal system: orthorhombic
- Space group: Cmc2_1, No. 36
- Size of the total moment: 0.00 μB/cell